Material: HfZr2MnAg
Method: DFT, PBE-GGA
State: relaxed

```
data_HfZr2MnAg
_symmetry_space_group_name_H-M 'P 1'
_symmetry_Int_Tables_number 1
_symmetry_space_group_name_Hall 'P 1'
_cell_length_a 4.640
_cell_length_b 4.640
_cell_length_c 4.995
_cell_angle_alpha 90.00
_cell_angle_beta 90.00
_cell_angle_gamma 90.00
loop_
_atom_site_label
_atom_site_type_symbol
_atom_site_fract_x
_atom_site_fract_y
_atom_site_fract_z
Hf1 Hf 0.000 0.000 0.000
Zr1 Zr 0.000 0.500 0.500
Zr2 Zr 0.500 0.000 0.500
Mn1 Mn 0.500 0.500 0.500
Ag1 Ag 0.500 0.500 0.000
```

Values from the calculation:
As for the space group: No. 123. The calculation puts the energy of formation from the pure elements at 0.56 eV/atom. The volume comes out at 108 Å³ per cell. As for the density of states at the Fermi level: 1.363 states/eV/atom. The polymorph energy (0 for the lowest one) comes out at 0 meV/atom.